TbPm4Pr6 after structural relaxation, computed with PBE.

Properties
* calculated formation energy: 0.2742 eV per atom
* electronic total energy: -4.481 eV/atom
* distance to the lowest polymorph of the same formula: 0.0 meV per atom
* theoretical density: 6.62 g cm⁻³
* space group: I-42m, No. 121
* total magnetization: 0.0 μB per cell

CIF file:
```
data_TbPm4Pr6
_cell_length_a 10.0246
_cell_length_b 10.0246
_cell_length_c 10.0246
_cell_angle_alpha 140.89
_cell_angle_beta 140.89
_cell_angle_gamma 56.50
_symmetry_space_group_name_H-M 'P 1'
_symmetry_Int_Tables_number 1
loop_
_symmetry_equiv_pos_as_xyz
'x,y,z'
loop_
_atom_site_label
_atom_site_type_symbol
_atom_site_fract_x
_atom_site_fract_y
_atom_site_fract_z
_atom_site_occupancy
Tb1 Tb 0.0000 0.0000 0.0000 1
Pm1 Pm 0.0111 0.6342 0.0000 1
Pm2 Pm 0.3658 0.3658 0.3770 1
Pm3 Pm 0.6342 0.0111 0.0000 1
Pm4 Pm 0.9889 0.9889 0.6230 1
Pr1 Pr 0.0000 0.5000 0.5000 1
Pr2 Pr 0.1904 0.1904 0.6424 1
Pr3 Pr 0.4520 0.8096 0.0000 1
Pr4 Pr 0.5000 0.0000 0.5000 1
Pr5 Pr 0.5480 0.5480 0.3576 1
Pr6 Pr 0.8096 0.4520 0.0000 1
```


Cr2NiAs after structural relaxation, computed with PBE.

Properties
* calculated formation energy: 0.0974 eV per atom
* electronic total energy: -7.322 eV/atom
* theoretical density: 7.86 g cm⁻³
* space group: F-43m, No. 216
* total magnetization: 1.7 μB per cell

CIF file:
```
data_Cr2NiAs
_cell_length_a 4.1398
_cell_length_b 4.1398
_cell_length_c 4.1398
_cell_angle_alpha 60.00
_cell_angle_beta 60.00
_cell_angle_gamma 60.00
_symmetry_space_group_name_H-M 'P 1'
_symmetry_Int_Tables_number 1
loop_
_symmetry_equiv_pos_as_xyz
'x,y,z'
loop_
_atom_site_label
_atom_site_type_symbol
_atom_site_fract_x
_atom_site_fract_y
_atom_site_fract_z
_atom_site_occupancy
Cr1 Cr 0.0000 0.0000 0.0000 1
Cr2 Cr 0.2500 0.2500 0.2500 1
Ni1 Ni 0.5000 0.5000 0.5000 1
As1 As 0.7500 0.7500 0.7500 1
```